KCaGdWO6 after structural relaxation. Source: Alexandria, functional PBE+U.

Space group: F-43m
V in Å³/cell: 149
Final energy in eV per atom: -7.96
Total magnetization in μB/atom: 0.6990

a b c (Å): 5.947 5.947 5.947
angles (deg): 60.00 60.00 60.00
Sites, in units of the cell vectors:
K 0.750 0.750 0.750
Ca 0.250 0.250 0.250
Gd 0.000 0.000 0.000
W 0.500 0.500 0.500
O 0.268 0.732 0.268
O 0.732 0.268 0.732
O 0.268 0.732 0.732
O 0.732 0.268 0.268
O 0.268 0.268 0.732
O 0.732 0.732 0.268